Rb3DyI8: relaxed, GGA-PBE.

Cell: 8.2345 8.2345 10.4912 Å, 113.11 113.11 90.00°
Element x y z (fractional)
I  0.8862  0.8862  0.2205
I  0.6657  0.6657  0.7795
I  0.6657  0.1138  0.7795
I  0.8862  0.3343  0.2205
I  0.1138  0.6657  0.7795
I  0.3343  0.3343  0.2205
I  0.1138  0.1138  0.7795
I  0.3343  0.8862  0.2205
Rb  0.2500  0.7500  0.5000
Rb  0.5000  0.5000  0.0000
Rb  0.7500  0.2500  0.5000
Dy  0.0000  0.0000  0.0000

Results
D(E_F) in states/eV/f.u.: 14.8
Crystal system: tetragonal
ΔE_f (raw) in eV/atom: -1.05